# 1
VASP calculation (PBE) on an optimized crystal structure of Sc4TlCo2.

Structure (CIF):
```
data_Sc4TlCo2
_chemical_formula_sum 'Sc8 Tl2 Co4'
_cell_length_a 4.7860
_cell_length_b 4.7860
_cell_length_c 13.4427
_cell_angle_alpha 90.00
_cell_angle_beta 90.00
_cell_angle_gamma 120.03
_space_group_name_H-M_alt 'P 1'
_space_group_IT_number 1
loop_
_space_group_symop_operation_xyz
'x,y,z'
loop_
_atom_site_label
_atom_site_fract_x
_atom_site_fract_y
_atom_site_fract_z
Sc1 0.1671 0.8329 0.8790
Sc2 0.8339 0.1661 0.7500
Sc3 0.1671 0.8329 0.6210
Sc4 0.1661 0.8339 0.2500
Sc5 0.5000 0.5000 0.5000
Sc6 0.8329 0.1671 0.3790
Sc7 0.8329 0.1671 0.1210
Sc8 0.5000 0.5000 0.0000
Co1 0.1664 0.8336 0.0574
Co2 0.1664 0.8336 0.4426
Co3 0.8336 0.1664 0.9426
Co4 0.8336 0.1664 0.5574
Tl1 0.5006 0.4994 0.7500
Tl2 0.4994 0.5006 0.2500
```

Mass density in Mg/m³: 6.3
Formation energy in meV per atom: -204.0
Symmetry: Cmcm
Calculated volume in Å³/atom: 19.0

# 2
VASP calculation (PBE) on an optimized crystal structure of Na3MnRh.

Structure (CIF):
```
data_Na3MnRh
_chemical_formula_sum 'Na3 Mn1 Rh1'
_cell_length_a 5.3424
_cell_length_b 5.3424
_cell_length_c 5.3424
_cell_angle_alpha 90.00
_cell_angle_beta 90.00
_cell_angle_gamma 90.00
_space_group_name_H-M_alt 'P 1'
_space_group_IT_number 1
loop_
_space_group_symop_operation_xyz
'x,y,z'
loop_
_atom_site_label
_atom_site_fract_x
_atom_site_fract_y
_atom_site_fract_z
Na1 0.0000 0.0000 0.5000
Na2 0.5000 0.0000 0.0000
Na3 0.0000 0.5000 0.0000
Rh1 0.5000 0.5000 0.5000
Mn1 0.0000 0.0000 0.0000
```

Mass density in Mg/m³: 2.5
Formation energy in meV per atom: 1329.5
Symmetry: Pm-3m
Calculated volume in Å³/atom: 30.5

# 3
VASP calculation (PBE) on an optimized crystal structure of AlPdAu2.

Structure (CIF):
```
data_AlPdAu2
_chemical_formula_sum 'Al1 Pd1 Au2'
_cell_length_a 4.0447
_cell_length_b 4.0212
_cell_length_c 4.0212
_cell_angle_alpha 90.00
_cell_angle_beta 90.00
_cell_angle_gamma 90.00
_space_group_name_H-M_alt 'P 1'
_space_group_IT_number 1
loop_
_space_group_symop_operation_xyz
'x,y,z'
loop_
_atom_site_label
_atom_site_fract_x
_atom_site_fract_y
_atom_site_fract_z
Pd1 0.5000 0.0000 0.0000
Au1 0.0000 0.5000 0.0000
Au2 0.0000 0.0000 0.5000
Al1 0.5000 0.5000 0.5000
```

Mass density in Mg/m³: 13.4
Formation energy in meV per atom: -389.9
Symmetry: P4/mmm
Calculated volume in Å³/atom: 16.4

# 4
VASP calculation (PBE) on an optimized crystal structure of ZnIn2Ag6.

Structure (CIF):
```
data_ZnIn2Ag6
_chemical_formula_sum 'Zn2 In4 Ag12'
_cell_length_a 5.5708
_cell_length_b 7.0390
_cell_length_c 13.3702
_cell_angle_alpha 137.44
_cell_angle_beta 90.00
_cell_angle_gamma 90.00
_space_group_name_H-M_alt 'P 1'
_space_group_IT_number 1
loop_
_space_group_symop_operation_xyz
'x,y,z'
loop_
_atom_site_label
_atom_site_fract_x
_atom_site_fract_y
_atom_site_fract_z
In1 0.4650 0.1490 0.2524
In2 0.5350 0.8510 0.7476
In3 0.0350 0.6490 0.7524
In4 0.9650 0.3510 0.2476
Zn1 0.0000 0.0000 0.5000
Zn2 0.5000 0.5000 0.0000
Ag1 0.3668 0.2582 0.7214
Ag2 0.3501 0.2231 0.0575
Ag3 0.6332 0.7418 0.2786
Ag4 0.1499 0.7231 0.5575
Ag5 0.3653 0.2587 0.5037
Ag6 0.1332 0.7582 0.2214
Ag7 0.8501 0.2769 0.4425
Ag8 0.8668 0.2418 0.7786
Ag9 0.1347 0.7587 0.0037
Ag10 0.6499 0.7769 0.9425
Ag11 0.8653 0.2413 0.9963
Ag12 0.6347 0.7413 0.4963
```

Mass density in Mg/m³: 8.8
Formation energy in meV per atom: 35.2
Symmetry: P2_1/c
Calculated volume in Å³/atom: 19.7

# 5
VASP calculation (PBE) on an optimized crystal structure of Sc6InHg5.

Structure (CIF):
```
data_Sc6InHg5
_chemical_formula_sum 'Sc6 In1 Hg5'
_cell_length_a 4.9741
_cell_length_b 7.0883
_cell_length_c 7.8752
_cell_angle_alpha 90.00
_cell_angle_beta 71.59
_cell_angle_gamma 90.00
_space_group_name_H-M_alt 'P 1'
_space_group_IT_number 1
loop_
_space_group_symop_operation_xyz
'x,y,z'
loop_
_atom_site_label
_atom_site_fract_x
_atom_site_fract_y
_atom_site_fract_z
Hg1 0.6654 0.5000 0.6691
Hg2 0.0000 0.5000 0.0000
Hg3 0.6647 0.0000 0.6707
Hg4 0.3346 0.5000 0.3309
Hg5 0.3353 0.0000 0.3293
Sc1 0.5000 0.2542 0.0000
Sc2 0.1685 0.7487 0.6629
Sc3 0.5000 0.7458 0.0000
Sc4 0.8315 0.2513 0.3371
Sc5 0.8315 0.7487 0.3371
Sc6 0.1685 0.2513 0.6629
In1 0.0000 0.0000 0.0000
```

Mass density in Mg/m³: 8.7
Formation energy in meV per atom: -427.7
Symmetry: Cmmm
Calculated volume in Å³/atom: 22.0

# 6
VASP calculation (PBE) on an optimized crystal structure of TlSi3.

Structure (CIF):
```
data_TlSi3
_chemical_formula_sum 'Tl1 Si3'
_cell_length_a 4.9095
_cell_length_b 4.9095
_cell_length_c 4.9095
_cell_angle_alpha 124.60
_cell_angle_beta 124.60
_cell_angle_gamma 82.21
_space_group_name_H-M_alt 'P 1'
_space_group_IT_number 1
loop_
_space_group_symop_operation_xyz
'x,y,z'
loop_
_atom_site_label
_atom_site_fract_x
_atom_site_fract_y
_atom_site_fract_z
Si1 0.2500 0.7500 0.5000
Si2 0.7500 0.2500 0.5000
Si3 0.5000 0.5000 0.0000
Tl1 0.0000 0.0000 0.0000
```

ΔE_f (raw) in eV/atom: 0.765
Mass density in Mg/m³: 6.2
Symmetry: I4/mmm
Calculated volume in Å³/atom: 19.3

# 7
VASP calculation (PBE) on an optimized crystal structure of GaPd2S.

Structure (CIF):
```
data_GaPd2S
_chemical_formula_sum 'Ga2 Pd4 S2'
_cell_length_a 4.2748
_cell_length_b 4.2748
_cell_length_c 8.3196
_cell_angle_alpha 75.11
_cell_angle_beta 75.11
_cell_angle_gamma 90.00
_space_group_name_H-M_alt 'P 1'
_space_group_IT_number 1
loop_
_space_group_symop_operation_xyz
'x,y,z'
loop_
_atom_site_label
_atom_site_fract_x
_atom_site_fract_y
_atom_site_fract_z
S1 0.2500 0.7500 0.5000
S2 0.5000 0.5000 0.0000
Ga1 0.0000 0.0000 0.0000
Ga2 0.7500 0.2500 0.5000
Pd1 0.3750 0.4061 0.7500
Pd2 0.5939 0.1250 0.2500
Pd3 0.1561 0.6250 0.2500
Pd4 0.8750 0.8439 0.7500
```

ΔE_f (raw) in eV/atom: -0.263
Mass density in Mg/m³: 7.4
Symmetry: I-42d
Calculated volume in Å³/atom: 17.7

# 8
VASP calculation (PBE) on an optimized crystal structure of Nd6Co2PdCl3.

Structure (CIF):
```
data_Nd6Co2PdCl3
_chemical_formula_sum 'Nd6 Co2 Pd1 Cl3'
_cell_length_a 4.0344
_cell_length_b 8.8698
_cell_length_c 9.7451
_cell_angle_alpha 109.67
_cell_angle_beta 101.95
_cell_angle_gamma 90.00
_space_group_name_H-M_alt 'P 1'
_space_group_IT_number 1
loop_
_space_group_symop_operation_xyz
'x,y,z'
loop_
_atom_site_label
_atom_site_fract_x
_atom_site_fract_y
_atom_site_fract_z
Cl1 0.5000 0.5000 0.0000
Cl2 0.8318 0.1648 0.6637
Cl3 0.1682 0.8352 0.3363
Nd1 0.6794 0.5588 0.3589
Nd2 0.9817 0.7584 0.9634
Nd3 0.0183 0.2416 0.0366
Nd4 0.6630 0.1231 0.3261
Nd5 0.3370 0.8769 0.6739
Nd6 0.3206 0.4412 0.6411
Co1 0.8327 0.6636 0.6653
Co2 0.1673 0.3364 0.3347
Pd1 0.5000 0.0000 0.0000
```

ΔE_f (raw) in eV/atom: -0.925
Mass density in Mg/m³: 6.2
Symmetry: C2/m
Calculated volume in Å³/atom: 26.7

# 9
VASP calculation (PBE) on an optimized crystal structure of Pr4FeI5.

Structure (CIF):
```
data_Pr4FeI5
_chemical_formula_sum 'Pr4 Fe1 I5'
_cell_length_a 4.2843
_cell_length_b 9.4645
_cell_length_c 10.0074
_cell_angle_alpha 103.30
_cell_angle_beta 102.36
_cell_angle_gamma 90.00
_space_group_name_H-M_alt 'P 1'
_space_group_IT_number 1
loop_
_space_group_symop_operation_xyz
'x,y,z'
loop_
_atom_site_label
_atom_site_fract_x
_atom_site_fract_y
_atom_site_fract_z
Pr1 0.6326 0.0672 0.2652
Pr2 0.9998 0.2166 0.9996
Pr3 0.3674 0.9328 0.7348
Pr4 0.0002 0.7834 0.0004
I1 0.8285 0.1650 0.6571
I2 0.1679 0.3327 0.3357
I3 0.1715 0.8350 0.3429
I4 0.8321 0.6673 0.6643
I5 0.5000 0.5000 0.0000
Fe1 0.5000 0.0000 0.0000
```

ΔE_f (raw) in eV/atom: -0.997
Mass density in Mg/m³: 5.4
Symmetry: C2/m
Calculated volume in Å³/atom: 38.5

# 10
VASP calculation (PBE) on an optimized crystal structure of TmLuMg.

Structure (CIF):
```
data_TmLuMg
_chemical_formula_sum 'Tm1 Lu1 Mg1'
_cell_length_a 3.3136
_cell_length_b 5.3682
_cell_length_c 5.3682
_cell_angle_alpha 120.00
_cell_angle_beta 90.00
_cell_angle_gamma 90.00
_space_group_name_H-M_alt 'P 1'
_space_group_IT_number 1
loop_
_space_group_symop_operation_xyz
'x,y,z'
loop_
_atom_site_label
_atom_site_fract_x
_atom_site_fract_y
_atom_site_fract_z
Lu1 0.0475 0.0000 0.0000
Mg1 0.3275 0.3333 0.6667
Tm1 0.6250 0.6667 0.3333
```

Mass density in Mg/m³: 7.4
Formation energy in meV per atom: 57.6
Symmetry: P3m1
Calculated volume in Å³/atom: 27.6

# 11
VASP calculation (PBE) on an optimized crystal structure of RbSnPbSe3.

Structure (CIF):
```
data_RbSnPbSe3
_chemical_formula_sum 'Rb2 Sn2 Pb2 Se6'
_cell_length_a 4.9932
_cell_length_b 8.5805
_cell_length_c 10.2218
_cell_angle_alpha 107.28
_cell_angle_beta 90.00
_cell_angle_gamma 90.00
_space_group_name_H-M_alt 'P 1'
_space_group_IT_number 1
loop_
_space_group_symop_operation_xyz
'x,y,z'
loop_
_atom_site_label
_atom_site_fract_x
_atom_site_fract_y
_atom_site_fract_z
Se1 0.2500 0.0676 0.8586
Se2 0.2500 0.8057 0.4525
Se3 0.2500 0.4962 0.8111
Se4 0.7500 0.5038 0.1889
Se5 0.7500 0.9324 0.1414
Se6 0.7500 0.1943 0.5475
Rb1 0.2500 0.2449 0.2589
Rb2 0.7500 0.7551 0.7411
Sn1 0.2500 0.1555 0.6362
Sn2 0.7500 0.8445 0.3638
Pb1 0.2500 0.6785 0.1009
Pb2 0.7500 0.3215 0.8991
```

ΔE_f (raw) in eV/atom: -0.643
Mass density in Mg/m³: 5.1
Symmetry: P2_1/m
Calculated volume in Å³/atom: 34.8

# 12
VASP calculation (PBE) on an optimized crystal structure of CsSiTe2I.

Structure (CIF):
```
data_CsSiTe2I
_chemical_formula_sum 'Cs1 Si1 Te2 I1'
_cell_length_a 5.4160
_cell_length_b 5.4160
_cell_length_c 6.2899
_cell_angle_alpha 90.00
_cell_angle_beta 90.00
_cell_angle_gamma 90.00
_space_group_name_H-M_alt 'P 1'
_space_group_IT_number 1
loop_
_space_group_symop_operation_xyz
'x,y,z'
loop_
_atom_site_label
_atom_site_fract_x
_atom_site_fract_y
_atom_site_fract_z
Te1 0.0000 0.5000 0.0000
Te2 0.5000 0.0000 0.0000
Si1 0.0000 0.0000 0.0000
Cs1 0.5000 0.5000 0.5000
I1 0.0000 0.0000 0.5000
```

ΔE_f (raw) in eV/atom: -0.290
Mass density in Mg/m³: 4.9
Symmetry: P4/mmm
Calculated volume in Å³/atom: 36.9

Calculated size of the total moment in order - 0.0, 5.1, 0.0, 0.0, 0.1, 0.0, 0.0, 0.0, 0.0, 0.0, 0.0, 0.0 μB per formula unit
Calculated density of states at the Fermi level in order - 6.1, 14.8, 1.8, 2.5, 11.8, 2.3, 2.7, 6.4, 6.6, 3.5, 0.5, 4.8 states/eV/f.u.
Calculated raw total energy in order - -0.2275, -0.1017, -0.1566, -0.0961, -0.1451, -0.1431, -0.1708, -0.1980, -0.1665, -0.1276, -0.1408, -0.1144 hartree per atom